# PBE-GGA AlTl3Br, relaxed
data_AlTl3Br
_chemical_formula_sum 'Al1 Tl3 Br1'
_symmetry_space_group_name_H-M 'P m -3 m'
_symmetry_Int_Tables_number 221
_symmetry_space_group_name_Hall '-P 4 2 3'
_cell_length_a 5.522
_cell_length_b 5.522
_cell_length_c 5.522
_cell_angle_alpha 90.00
_cell_angle_beta 90.00
_cell_angle_gamma 90.00
loop_
_atom_site_label
_atom_site_type_symbol
_atom_site_fract_x
_atom_site_fract_y
_atom_site_fract_z
Al1 Al 0.000 0.000 0.000
Tl1 Tl 0.000 0.000 0.500
Br1 Br 0.500 0.500 0.500
# - energy above the most stable polymorph in this dataset (kJ/mol of formula units) = 0
# - VASP energy (eV/cell) = -12.62
# - formation energy (no corrections) (eV per atom) = -0.022
# - D(E_F) (states/eV/cell) = 2.87


# PBE-GGA Tb5CeHo8, relaxed
data_Tb5CeHo8
_chemical_formula_sum 'Tb10 Ce2 Ho16'
_symmetry_space_group_name_H-M 'I -4'
_symmetry_Int_Tables_number 82
_symmetry_space_group_name_Hall 'I -4'
_cell_length_a 9.431
_cell_length_b 9.431
_cell_length_c 10.178
_cell_angle_alpha 90.00
_cell_angle_beta 90.00
_cell_angle_gamma 90.00
loop_
_atom_site_label
_atom_site_type_symbol
_atom_site_fract_x
_atom_site_fract_y
_atom_site_fract_z
Tb1 Tb 0.000 0.000 0.000
Tb2 Tb 0.112 0.789 0.575
Ce1 Ce 0.000 0.500 0.250
Ho1 Ho 0.072 0.677 0.900
Ho2 Ho 0.085 0.822 0.248
# - VASP energy (eV/cell) = -123.93
# - D(E_F) (states/eV/cell) = 51.39
# - formation energy from the elements (eV per atom) = 0.27


# PBE-GGA Pm8NdSn6, relaxed
data_Pm8NdSn6
_chemical_formula_sum 'Pm24 Nd3 Sn18'
_symmetry_space_group_name_H-M 'R -3'
_symmetry_Int_Tables_number 148
_symmetry_space_group_name_Hall '-R 3'
_cell_length_a 9.3178
_cell_length_b 9.3178
_cell_length_c 19.7546
_cell_angle_alpha 90.00
_cell_angle_beta 90.00
_cell_angle_gamma 120.00
loop_
_atom_site_label
_atom_site_type_symbol
_atom_site_fract_x
_atom_site_fract_y
_atom_site_fract_z
Pm1 Pm 0.0000 0.0000 0.1668
Pm2 Pm 0.9996 0.3321 0.3958
Nd1 Nd 0.0000 0.0000 0.5000
Sn1 Sn 0.9997 0.3346 0.5677
# - VASP energy (eV/cell) = -226.14
# - D(E_F) (states/eV/cell) = 27.87
# - formation energy from the elements (eV per atom) = -0.57


# PBE-GGA AlS2N2, relaxed
data_AlS2N2
_chemical_formula_sum 'Al1 S2 N2'
_symmetry_space_group_name_H-M 'P 4/m m m'
_symmetry_Int_Tables_number 123
_symmetry_space_group_name_Hall '-P 4 2'
_cell_length_a 3.882
_cell_length_b 3.882
_cell_length_c 3.905
_cell_angle_alpha 90.00
_cell_angle_beta 90.00
_cell_angle_gamma 90.00
loop_
_atom_site_label
_atom_site_type_symbol
_atom_site_fract_x
_atom_site_fract_y
_atom_site_fract_z
Al1 Al 0.000 0.000 0.000
S1 S 0.000 0.500 0.500
N1 N 0.500 0.500 0.000
N2 N 0.500 0.500 0.500
# - energy above the most stable polymorph in this dataset (kJ/mol of formula units) = 240
# - VASP energy (eV/cell) = -21.37
# - formation energy (no corrections) (eV per atom) = 1.455
# - D(E_F) (states/eV/cell) = 0.69